LiPuFe2O8: optimized geometry, PBE with a Hubbard U.

The structure belongs to space group I-4m2 (No. 119); the cell edges are 6.779, 6.779 and 6.560 Å and the angles 90.00°, 90.00° and 90.00°. The inequivalent atoms are Li at (0.000, 0.000, 0.000), Pu at (0.000, 0.500, 0.750), Fe at (0.000, 0.000, 0.500), Fe at (0.000, 0.500, 0.250), O at (0.000, 0.208, 0.688) and O at (0.000, 0.319, 0.064).

For the total energy, the calculation gives -167.23 eV for the cell shown.